This record from Alexandria describes crystalline Tb5Pr8Mg at its relaxed geometry. The functional is GGA-PBE.

## Properties
Size of the total moment ... 0.002 μB per cell
Energy of formation ... 0.22 eV/atom
Space group ... I-4 (82)
Final energy ... -4.276 eV/atom

a = 8.6587 Å, b = 8.6587 Å, c = 8.6587 Å
α = 105.78°, β = 105.78°, γ = 117.13°
Element x y z (fractional)
Tb1 0.0000 0.0000 0.0000
Tb2 0.2258 0.4488 0.9691
Tb3 0.4797 0.2567 0.0309
Tb4 0.5512 0.5203 0.7770
Tb5 0.7433 0.7742 0.2230
Pr1 0.1415 0.0689 0.6013
Pr2 0.4080 0.0750 0.3348
Pr3 0.4598 0.8585 0.9274
Pr4 0.4676 0.5402 0.3987
Pr5 0.7402 0.0731 0.6652
Pr6 0.9250 0.2598 0.3330
Pr7 0.9269 0.5920 0.6670
Pr8 0.9311 0.5324 0.0726
Mg1 0.2500 0.7500 0.5000

=====

This record from Alexandria describes crystalline SnB6N6 at its relaxed geometry. The functional is GGA-PBE.

## Properties
Size of the total moment ... 0.000 μB per cell
Space group ... Pm-3 (200)
Final energy ... -7.244 eV/atom
Raw formation energy ... -0.012 eV per atom

a = 4.6850 Å, b = 4.6850 Å, c = 4.6850 Å
α = 90.00°, β = 90.00°, γ = 90.00°
Element x y z (fractional)
Sn1 0.0000 0.0000 0.0000
B1 0.0000 0.2456 0.5000
B2 0.0000 0.7544 0.5000
B3 0.2456 0.5000 0.0000
B4 0.5000 0.0000 0.2456
B5 0.5000 0.0000 0.7544
B6 0.7544 0.5000 0.0000
N1 0.0000 0.5000 0.2561
N2 0.0000 0.5000 0.7439
N3 0.2561 0.0000 0.5000
N4 0.5000 0.2561 0.0000
N5 0.5000 0.7439 0.0000
N6 0.7439 0.0000 0.5000

=====

Please write out number 1 again, unchanged.
This record from Alexandria describes crystalline Tb5Pr8Mg at its relaxed geometry. The functional is GGA-PBE.

## Properties
Size of the total moment ... 0.002 μB per cell
Energy of formation ... 0.22 eV/atom
Space group ... I-4 (82)
Final energy ... -4.276 eV/atom

a = 8.6587 Å, b = 8.6587 Å, c = 8.6587 Å
α = 105.78°, β = 105.78°, γ = 117.13°
Element x y z (fractional)
Tb1 0.0000 0.0000 0.0000
Tb2 0.2258 0.4488 0.9691
Tb3 0.4797 0.2567 0.0309
Tb4 0.5512 0.5203 0.7770
Tb5 0.7433 0.7742 0.2230
Pr1 0.1415 0.0689 0.6013
Pr2 0.4080 0.0750 0.3348
Pr3 0.4598 0.8585 0.9274
Pr4 0.4676 0.5402 0.3987
Pr5 0.7402 0.0731 0.6652
Pr6 0.9250 0.2598 0.3330
Pr7 0.9269 0.5920 0.6670
Pr8 0.9311 0.5324 0.0726
Mg1 0.2500 0.7500 0.5000

=====

What did the first record say?
This record from Alexandria describes crystalline Tb5Pr8Mg at its relaxed geometry. The functional is GGA-PBE.

## Properties
Size of the total moment ... 0.002 μB per cell
Energy of formation ... 0.22 eV/atom
Space group ... I-4 (82)
Final energy ... -4.276 eV/atom

a = 8.6587 Å, b = 8.6587 Å, c = 8.6587 Å
α = 105.78°, β = 105.78°, γ = 117.13°
Element x y z (fractional)
Tb1 0.0000 0.0000 0.0000
Tb2 0.2258 0.4488 0.9691
Tb3 0.4797 0.2567 0.0309
Tb4 0.5512 0.5203 0.7770
Tb5 0.7433 0.7742 0.2230
Pr1 0.1415 0.0689 0.6013
Pr2 0.4080 0.0750 0.3348
Pr3 0.4598 0.8585 0.9274
Pr4 0.4676 0.5402 0.3987
Pr5 0.7402 0.0731 0.6652
Pr6 0.9250 0.2598 0.3330
Pr7 0.9269 0.5920 0.6670
Pr8 0.9311 0.5324 0.0726
Mg1 0.2500 0.7500 0.5000

=====

> Which of these has the highest size of the total moment?

Tb5Pr8Mg

=====

> Which value of size of the total moment does entry 1 give?

0.002 μB per cell